(1)
# Sr3Tl2PdPt2Pb

Sr3Tl2PdPt2Pb after structural relaxation (GGA-PBE, OQMD via LeMat-Bulk).

Properties
VASP energy in eV per atom: -4.039
Crystal system: orthorhombic
Theoretical density in g/cm³: 9.771
SG: No. 38

Cell lengths 4.2756, 7.9562, 7.9562 Å; angles 120.27, 90.00, 90.00 degrees
With the nearest neighbours (Å) after each atom.
Atoms (fractional coordinates):
Sr 0.0000 0.0000 0.0000  4 Pt 3.20, 1 Pd 3.25, 2 Pb 3.45, 4 Tl 3.57
Sr 0.0000 0.1819 0.5940  4 Pt 3.20-3.24, 1 Pd 3.26, 4 Tl 3.41-3.54, 2 Pb 3.58
Sr 0.0000 0.5940 0.1819  4 Pt 3.20-3.24, 1 Pd 3.26, 4 Tl 3.41-3.54, 2 Pb 3.58
Tl 0.5000 0.5894 0.8464  2 Pd 2.96, 2 Pt 3.03
Tl 0.5000 0.8464 0.5894  2 Pd 2.96, 2 Pt 3.03
Pd 0.0000 0.5903 0.5903  2 Pb 2.90, 4 Tl 2.96, 1 Sr 3.25
Pt 0.5000 0.2596 0.9322  1 Pb 2.99, 2 Tl 3.03, 6 Sr 3.20-3.24
Pt 0.5000 0.9322 0.2596  1 Pb 2.99, 2 Tl 3.03, 6 Sr 3.20-3.24
Pb 0.5000 0.3424 0.3424  2 Pd 2.90, 2 Pt 2.99

***

(2)
# Tb2TmPdPt2Pb3

Tb2TmPdPt2Pb3 after structural relaxation (GGA-PBE, OQMD via LeMat-Bulk).

Properties
VASP energy in eV per atom: -5.497
Crystal system: orthorhombic
Theoretical density in g/cm³: 12.956
SG: No. 38

Cell lengths 3.9427, 7.7580, 7.7580 Å; angles 119.90, 90.00, 90.00 degrees
With the nearest neighbours (Å) after each atom.
Atoms (fractional coordinates):
Tb 0.0000 0.2035 0.7965  4 Pt 3.08-3.09, 1 Pd 3.17, 6 Pb 3.24-3.40
Tb 0.0000 0.7965 0.2035  4 Pt 3.08-3.09, 1 Pd 3.17, 6 Pb 3.24-3.40
Tm 0.0000 0.6109 0.6109  4 Pt 3.04, 1 Pd 3.14, 6 Pb 3.24-3.40
Pd 0.0000 0.2066 0.2066  6 Pb 2.82-2.85, 1 Tm 3.14
Pt 0.5000 0.5374 0.8657  3 Pb 2.89-2.94, 2 Tm 3.04, 4 Tb 3.08-3.09
Pt 0.5000 0.8657 0.5374  3 Pb 2.89-2.94, 2 Tm 3.04, 4 Tb 3.08-3.09
Pb 0.5000 0.2035 0.4650  2 Pd 2.82, 2 Pt 2.89-2.94
Pb 0.5000 0.4650 0.2035  2 Pd 2.82, 2 Pt 2.89-2.94
Pb 0.5000 0.9422 0.9422  2 Pd 2.85, 2 Pt 2.89

***

(3)
# TbY2Pd2PtPb3

TbY2Pd2PtPb3 after structural relaxation (GGA-PBE, OQMD via LeMat-Bulk).

Properties
VASP energy in eV per atom: -5.763
Crystal system: orthorhombic
Theoretical density in g/cm³: 10.937
SG: No. 38

Cell lengths 3.9444, 7.7914, 7.7914 Å; angles 119.97, 90.00, 90.00 degrees
With the nearest neighbours (Å) after each atom.
Atoms (fractional coordinates):
Tb 0.0000 0.0000 0.0000  1 Pt 3.09, 4 Pd 3.09, 6 Pb 3.28-3.37
Y 0.0000 0.3970 0.7937  1 Pt 3.09, 4 Pd 3.10, 6 Pb 3.28-3.37
Y 0.0000 0.7937 0.3970  1 Pt 3.09, 4 Pd 3.10, 6 Pb 3.28-3.37
Pd 0.5000 0.0640 0.7312  3 Pb 2.89, 2 Tb 3.09, 4 Y 3.10
Pd 0.5000 0.7312 0.0640  3 Pb 2.89, 2 Tb 3.09, 4 Y 3.10
Pt 0.0000 0.3968 0.3968  6 Pb 2.87, 2 Y 3.09, 1 Tb 3.09
Pb 0.5000 0.1299 0.3977  2 Pt 2.87, 2 Pd 2.89
Pb 0.5000 0.3977 0.1299  2 Pt 2.87, 2 Pd 2.89
Pb 0.5000 0.6642 0.6642  2 Pt 2.87, 2 Pd 2.89

***

(4)
# Tb2YPdPt2Pb3

Tb2YPdPt2Pb3 after structural relaxation (GGA-PBE, OQMD via LeMat-Bulk).

Properties
VASP energy in eV per atom: -5.726
Crystal system: orthorhombic
Theoretical density in g/cm³: 12.184
SG: No. 38

Cell lengths 3.9657, 7.7807, 7.7807 Å; angles 120.04, 90.00, 90.00 degrees
With the nearest neighbours (Å) after each atom.
Atoms (fractional coordinates):
Tb 0.0000 0.2035 0.7965  4 Pt 3.08, 1 Pd 3.17, 6 Pb 3.25-3.42
Tb 0.0000 0.7965 0.2035  4 Pt 3.08, 1 Pd 3.17, 6 Pb 3.25-3.42
Y 0.0000 0.6102 0.6102  4 Pt 3.09, 1 Pd 3.16, 6 Pb 3.25-3.41
Pd 0.0000 0.2036 0.2036  6 Pb 2.84, 1 Y 3.16, 2 Tb 3.17
Pt 0.5000 0.5370 0.8709  3 Pb 2.91, 4 Tb 3.08, 2 Y 3.09
Pt 0.5000 0.8709 0.5370  3 Pb 2.91, 4 Tb 3.08, 2 Y 3.09
Pb 0.5000 0.2040 0.4650  2 Pd 2.84, 2 Pt 2.91
Pb 0.5000 0.4650 0.2040  2 Pd 2.84, 2 Pt 2.91
Pb 0.5000 0.9419 0.9419  2 Pd 2.84, 2 Pt 2.91